# 1
VASP calculation (meta-GGA SCAN) on ReAs2Cl at its PBEsol-relaxed geometry.

Cell lengths 3.1026, 3.9171, 6.3241 Å; angles 90.00, 90.00, 90.00 degrees
Space group Pmm2 (No. 25)
Inequivalent atoms, fractional coordinates:
Re (0.0000, 0.0000, 0.0000) x1
As (0.5000, 0.0000, 0.3351) x1
As (0.5000, 0.5000, 0.0994) x1
Cl (0.0000, 0.5000, 0.7050) x1

Calculated values
DFT total energy ... -1.08722 Ha/atom
Formation energy without anion corrections ... 27 kJ/mol of atoms


# 2
VASP calculation (meta-GGA SCAN) on Ca3BC at its PBEsol-relaxed geometry.

Cell lengths 4.8451, 4.8451, 4.8451 Å; angles 90.00, 90.00, 90.00 degrees
Space group Pm-3m (No. 221)
Inequivalent atoms, fractional coordinates:
Ca (0.0000, 0.0000, 0.5000) x3
B (0.5000, 0.5000, 0.5000) x1
C (0.0000, 0.0000, 0.0000) x1

Calculated values
DFT total energy ... -0.31797 Ha/atom
Calculated formation energy ... 0.65 eV/atom


# 3
VASP calculation (meta-GGA SCAN) on GeHRh3 at its PBEsol-relaxed geometry.

Cell lengths 3.8435, 3.8435, 3.8435 Å; angles 90.00, 90.00, 90.00 degrees
Space group Pm-3m (No. 221)
Inequivalent atoms, fractional coordinates:
Ge (0.0000, 0.0000, 0.0000) x1
H (0.5000, 0.5000, 0.5000) x1
Rh (0.0000, 0.5000, 0.5000) x3

Calculated values
DFT total energy ... -0.92037 Ha/atom


# 4
VASP calculation (meta-GGA SCAN) on Rb4Cu8Ge3S12 at its PBEsol-relaxed geometry.

Cell lengths 12.1455, 12.1455, 18.2048 Å; angles 90.00, 90.00, 90.00 degrees
Space group I-4c2 (No. 120)
Inequivalent atoms, fractional coordinates:
Rb (0.0000, 0.0000, 0.0973) x8
Rb (0.1818, 0.1818, 0.2500) x8
Cu (0.0020, 0.3201, 0.4119) x16
Cu (0.0050, 0.3245, 0.0925) x16
Ge (0.0000, 0.5000, 0.2500) x4
Ge (0.2504, 0.2496, 0.0000) x8
S (0.0677, 0.2199, 0.0021) x16
S (0.1001, 0.3884, 0.8234) x16
S (0.1759, 0.3183, 0.6031) x16

Calculated values
DFT total energy ... -0.53649 Ha/atom
Formation energy without anion corrections ... -60 kJ/mol of atoms


Which formula does entry 4 have? Rb4Cu8Ge3S12


The lowest DFT total energy belongs to which entry? ReAs2Cl


Which value of DFT total energy does entry 1 give? -1.08722 Ha/atom